No. 1
# Sc4AgIr | Alexandria via LeMat-Bulk | PBE | relaxed
# * calculated density: 6.35 g/cm3
# * ΔE_f: -0.51 eV per atom
# * energy above the lowest structure with this stoichiometry: 0 meV/atom
# * final energy: -6.6828 eV/atom
data_Sc4AgIr
_cell_length_a 12.6154
_cell_length_b 12.6154
_cell_length_c 12.6154
_cell_angle_alpha 90.00
_cell_angle_beta 90.00
_cell_angle_gamma 90.00
_space_group_name_H-M_alt 'F -4 3 m'
_space_group_IT_number 216
_space_group_name_Hall 'F -4 2 3'
loop_
_atom_site_label
_atom_site_fract_x
_atom_site_fract_y
_atom_site_fract_z
Sc1 0.0000 0.0000 0.1869
Sc2 0.0629 0.2500 0.2500
Sc3 0.1418 0.1418 0.6418
Ag1 0.0836 0.0836 0.4164
Ir1 0.1454 0.1454 0.8546

***

No. 2
# ScAgIr | Alexandria via LeMat-Bulk | PBE | relaxed
# * calculated density: 9.15 g/cm3
# * ΔE_f: -0.10 eV per atom
# * energy above the lowest structure with this stoichiometry: 266 meV/atom
# * final energy: -6.1108 eV/atom
data_ScAgIr
_cell_length_a 6.3046
_cell_length_b 6.3046
_cell_length_c 6.3046
_cell_angle_alpha 90.00
_cell_angle_beta 90.00
_cell_angle_gamma 90.00
_space_group_name_H-M_alt 'F -4 3 m'
_space_group_IT_number 216
_space_group_name_Hall 'F -4 2 3'
loop_
_atom_site_label
_atom_site_fract_x
_atom_site_fract_y
_atom_site_fract_z
Sc1 0.0000 0.0000 0.0000
Ag1 0.0000 0.0000 0.5000
Ir1 0.2500 0.2500 0.7500

***

No. 3
# ScAgIr2 | Alexandria via LeMat-Bulk | PBE | relaxed
# * calculated density: 13.10 g/cm3
# * ΔE_f: -0.09 eV per atom
# * energy above the lowest structure with this stoichiometry: 229 meV/atom
# * final energy: -6.8176 eV/atom
data_ScAgIr2
_cell_length_a 3.4414
_cell_length_b 3.4414
_cell_length_c 5.7498
_cell_angle_alpha 90.00
_cell_angle_beta 90.00
_cell_angle_gamma 90.00
_space_group_name_H-M_alt 'P 4 m m'
_space_group_IT_number 99
loop_
_space_group_symop_operation_xyz
'x,y,z'
'-y,x,z'
'-x,-y,z'
'y,-x,z'
'-x,y,z'
'y,x,z'
'x,-y,z'
'-y,-x,z'
loop_
_atom_site_label
_atom_site_fract_x
_atom_site_fract_y
_atom_site_fract_z
Sc1 0.0000 0.0000 0.0000
Ag1 0.5000 0.5000 0.2735
Ir1 0.0000 0.0000 0.5516
Ir2 0.5000 0.5000 0.7495

***

No. 4
# Sc2AgIrSe | Alexandria via LeMat-Bulk | PBE | relaxed
# * calculated density: 6.30 g/cm3
# * final energy: -4.9742 eV/atom
# * formation energy (no corrections): 3.0 eV per formula unit
data_Sc2AgIrSe
_cell_length_a 5.0486
_cell_length_b 5.0486
_cell_length_c 4.8487
_cell_angle_alpha 90.00
_cell_angle_beta 90.00
_cell_angle_gamma 90.00
_space_group_name_H-M_alt 'P 4/m m m'
_space_group_IT_number 123
_space_group_name_Hall '-P 4 2'
loop_
_atom_site_label
_atom_site_fract_x
_atom_site_fract_y
_atom_site_fract_z
Sc1 0.0000 0.5000 0.0000
Ag1 0.0000 0.0000 0.0000
Ir1 0.0000 0.0000 0.5000
Se1 0.5000 0.5000 0.5000

***

No. 5
# SmScAgIr | Alexandria via LeMat-Bulk | PBE | relaxed
# * calculated density: 9.88 g/cm3
# * ΔE_f: -0.51 eV per atom
# * final energy: -6.2027 eV/atom
data_SmScAgIr
_cell_length_a 6.9319
_cell_length_b 6.9319
_cell_length_c 6.9319
_cell_angle_alpha 90.00
_cell_angle_beta 90.00
_cell_angle_gamma 90.00
_space_group_name_H-M_alt 'F -4 3 m'
_space_group_IT_number 216
_space_group_name_Hall 'F -4 2 3'
loop_
_atom_site_label
_atom_site_fract_x
_atom_site_fract_y
_atom_site_fract_z
Sm1 0.0000 0.0000 0.0000
Sc1 0.0000 0.0000 0.5000
Ag1 0.2500 0.2500 0.2500
Ir1 0.2500 0.2500 0.7500

***

No. 6
# Sc5AgSn2Ir2 | Alexandria via LeMat-Bulk | PBE | relaxed
# * calculated density: 7.42 g/cm3
# * ΔE_f: -0.58 eV per atom
# * final energy: -6.6066 eV/atom
data_Sc5AgSn2Ir2
_cell_length_a 11.2053
_cell_length_b 11.2053
_cell_length_c 3.4025
_cell_angle_alpha 90.00
_cell_angle_beta 90.00
_cell_angle_gamma 90.00
_space_group_name_H-M_alt 'P 4/m b m'
_space_group_IT_number 127
_space_group_name_Hall '-P 4 2ab'
loop_
_atom_site_label
_atom_site_fract_x
_atom_site_fract_y
_atom_site_fract_z
Sc1 0.0000 0.5000 0.0000
Sc2 0.0712 0.2024 0.0000
Ag1 0.0000 0.0000 0.5000
Sn1 0.1735 0.6735 0.5000
Ir1 0.1325 0.3675 0.5000